(1)
The following is a DFT calculation (GGA-PBE) of a relaxed structure of Li7VN4.

a = 9.6244 Å, b = 9.6244 Å, c = 9.6244 Å
α = 90.00°, β = 90.00°, γ = 90.00°
With the nearest neighbours (Å) after each atom.
Positions (direct):
Li: 0.5159 0.7367 0.7504  4 N 2.06-2.18, 1 Li 2.29
Li: 0.5159 0.2633 0.2496  4 N 2.06-2.18, 1 Li 2.29
Li: 0.7367 0.7504 0.5159  4 N 2.06-2.18, 1 Li 2.29
Li: 0.2633 0.7504 0.4841  4 N 2.06-2.18, 1 Li 2.29
Li: 0.7504 0.5159 0.7367  4 N 2.06-2.18, 1 Li 2.29
Li: 0.2496 0.4841 0.7367  4 N 2.06-2.18, 1 Li 2.29
Li: 0.9841 0.7496 0.2367  4 N 2.06-2.18, 1 Li 2.29
Li: 0.9841 0.2504 0.7633  4 N 2.06-2.18, 1 Li 2.29
Li: 0.0159 0.7496 0.7633  4 N 2.06-2.18, 1 Li 2.29
Li: 0.2504 0.7633 0.9841  4 N 2.06-2.18, 1 Li 2.29
Li: 0.7633 0.0159 0.7496  4 N 2.06-2.18, 1 Li 2.29
Li: 0.7633 0.9841 0.2504  4 N 2.06-2.18, 1 Li 2.29
Li: 0.7496 0.2367 0.9841  4 N 2.06-2.18, 1 Li 2.29
Li: 0.2367 0.9841 0.7496  4 N 2.06-2.18, 1 Li 2.29
Li: 0.7496 0.7633 0.0159  4 N 2.06-2.18, 1 Li 2.29
Li: 0.2504 0.2367 0.0159  4 N 2.06-2.18, 1 Li 2.29
Li: 0.2367 0.0159 0.2504  4 N 2.06-2.18, 1 Li 2.29
Li: 0.2496 0.5159 0.2633  4 N 2.06-2.18, 1 Li 2.29
Li: 0.7504 0.4841 0.2633  4 N 2.06-2.18, 1 Li 2.29
Li: 0.7367 0.2496 0.4841  4 N 2.06-2.18, 1 Li 2.29
Li: 0.2633 0.2496 0.5159  4 N 2.06-2.18, 1 Li 2.29
Li: 0.4841 0.2633 0.7504  4 N 2.06-2.18, 1 Li 2.29
Li: 0.4841 0.7367 0.2496  4 N 2.06-2.18, 1 Li 2.29
Li: 0.5000 0.2500 0.0000  4 N 2.15, 2 Li 2.41
Li: 0.0159 0.2504 0.2367  4 N 2.06-2.18, 1 Li 2.29
Li: 0.7344 0.2656 0.7344  4 N 2.07-2.23
Li: 0.2656 0.7344 0.7344  4 N 2.07-2.23
Li: 0.7344 0.7344 0.2656  4 N 2.07-2.23
Li: 0.7656 0.2344 0.2344  4 N 2.07-2.23
Li: 0.2344 0.2344 0.7656  4 N 2.07-2.23
Li: 0.2344 0.7656 0.2344  4 N 2.07-2.23
Li: 0.2656 0.2656 0.2656  4 N 2.07-2.23
Li: 0.0000 0.5000 0.0000  4 N 2.05, 2 Li 2.27
Li: 0.5000 0.0000 0.0000  4 N 2.05, 2 Li 2.27
Li: 0.5000 0.5000 0.0000  4 N 2.05, 2 Li 2.27
Li: 0.0000 0.5000 0.5000  4 N 2.05, 2 Li 2.27
Li: 0.5000 0.0000 0.5000  4 N 2.05, 2 Li 2.27
Li: 0.0000 0.0000 0.5000  4 N 2.05, 2 Li 2.27
Li: 0.7500 0.0000 0.5000  4 N 2.15, 2 Li 2.41
Li: 0.5000 0.7500 0.0000  4 N 2.15, 2 Li 2.41
Li: 0.2356 0.5000 0.5000  4 N 2.11-2.15, 3 Li 2.27-2.29
Li: 0.2644 0.0000 0.0000  4 N 2.11-2.15, 3 Li 2.27-2.29
Li: 0.0000 0.0000 0.7356  4 N 2.11-2.15, 3 Li 2.27-2.29
Li: 0.0000 0.0000 0.2644  4 N 2.11-2.15, 3 Li 2.27-2.29
Li: 0.0000 0.2644 0.0000  4 N 2.11-2.15, 3 Li 2.27-2.29
Li: 0.0000 0.7356 0.0000  4 N 2.11-2.15, 3 Li 2.27-2.29
Li: 0.5000 0.2356 0.5000  4 N 2.11-2.15, 3 Li 2.27-2.29
Li: 0.5000 0.5000 0.2356  4 N 2.11-2.15, 3 Li 2.27-2.29
Li: 0.5000 0.7644 0.5000  4 N 2.11-2.15, 3 Li 2.27-2.29
Li: 0.5000 0.5000 0.7644  4 N 2.11-2.15, 3 Li 2.27-2.29
Li: 0.7644 0.5000 0.5000  4 N 2.11-2.15, 3 Li 2.27-2.29
Li: 0.7356 0.0000 0.0000  4 N 2.11-2.15, 3 Li 2.27-2.29
Li: 0.2500 0.0000 0.5000  4 N 2.15, 2 Li 2.41
Li: 0.0000 0.5000 0.7500  4 N 2.15, 2 Li 2.41
Li: 0.0000 0.5000 0.2500  4 N 2.15, 2 Li 2.41
Li: 0.7656 0.7656 0.7656  4 N 2.07-2.23
V: 0.7500 0.5000 0.0000  4 N 1.85
V: 0.0000 0.7500 0.5000  4 N 1.85
V: 0.0000 0.2500 0.5000  4 N 1.85
V: 0.5000 0.0000 0.2500  4 N 1.85
V: 0.5000 0.0000 0.7500  4 N 1.85
V: 0.2500 0.5000 0.0000  4 N 1.85
V: 0.5000 0.5000 0.5000  4 N 1.84
V: 0.0000 0.0000 0.0000  4 N 1.84
N: 0.6159 0.8919 0.6421  1 V 1.85, 2 Li 2.05-2.06
N: 0.6159 0.1081 0.3579  1 V 1.85, 2 Li 2.05-2.06
N: 0.8919 0.6421 0.6159  1 V 1.85, 2 Li 2.05-2.06
N: 0.1081 0.6421 0.3841  1 V 1.85, 2 Li 2.05-2.06
N: 0.6421 0.6159 0.8919  1 V 1.85, 2 Li 2.05-2.06
N: 0.3579 0.3841 0.8919  1 V 1.85, 2 Li 2.05-2.06
N: 0.8841 0.8579 0.3919  1 V 1.85, 2 Li 2.05-2.06
N: 0.8841 0.1421 0.6081  1 V 1.85, 2 Li 2.05-2.06
N: 0.1159 0.8579 0.6081  1 V 1.85, 2 Li 2.05-2.06
N: 0.1421 0.6081 0.8841  1 V 1.85, 2 Li 2.05-2.06
N: 0.6081 0.1159 0.8579  1 V 1.85, 2 Li 2.05-2.06
N: 0.6081 0.8841 0.1421  1 V 1.85, 2 Li 2.05-2.06
N: 0.8579 0.3919 0.8841  1 V 1.85, 2 Li 2.05-2.06
N: 0.3919 0.8841 0.8579  1 V 1.85, 2 Li 2.05-2.06
N: 0.8579 0.6081 0.1159  1 V 1.85, 2 Li 2.05-2.06
N: 0.1421 0.3919 0.1159  1 V 1.85, 2 Li 2.05-2.06
N: 0.3919 0.1159 0.1421  1 V 1.85, 2 Li 2.05-2.06
N: 0.3579 0.6159 0.1081  1 V 1.85, 2 Li 2.05-2.06
N: 0.6421 0.3841 0.1081  1 V 1.85, 2 Li 2.05-2.06
N: 0.8919 0.3579 0.3841  1 V 1.85, 2 Li 2.05-2.06
N: 0.1081 0.3579 0.6159  1 V 1.85, 2 Li 2.05-2.06
N: 0.3841 0.1081 0.6421  1 V 1.85, 2 Li 2.05-2.06
N: 0.3841 0.8919 0.3579  1 V 1.85, 2 Li 2.05-2.06
N: 0.1159 0.1421 0.3919  1 V 1.85, 2 Li 2.05-2.06
N: 0.8896 0.8896 0.8896  1 V 1.84
N: 0.6104 0.3896 0.6104  1 V 1.84
N: 0.3896 0.6104 0.6104  1 V 1.84
N: 0.6104 0.6104 0.3896  1 V 1.84
N: 0.8896 0.1104 0.1104  1 V 1.84
N: 0.1104 0.1104 0.8896  1 V 1.84
N: 0.1104 0.8896 0.1104  1 V 1.84
N: 0.3896 0.3896 0.3896  1 V 1.84

Results
- Fermi-level density of states: 0.0 states/eV/cell
- Spin magnetization: 0.00 μB per atom
- SG: P-43n (218)
- Offset from the most stable computed form: 0.003 eV per atom
- Electronic total energy: -5.434 eV per atom
- ΔE_f (raw): -0.782 eV per atom

---

(2)
The following is a DFT calculation (GGA-PBE) of a relaxed structure of Li3V2N4.

a = 5.4380 Å, b = 6.1450 Å, c = 6.1450 Å
α = 71.53°, β = 89.71°, γ = 89.71°
With the nearest neighbours (Å) after each atom.
Positions (direct):
Li: 0.0347 0.0222 0.7751  4 N 2.17-2.33, 1 Li 2.40
Li: 0.4653 0.2249 0.9778  4 N 2.17-2.33, 1 Li 2.40
Li: 0.9653 0.9778 0.2249  4 N 2.17-2.33, 1 Li 2.40
Li: 0.5347 0.7751 0.0222  4 N 2.17-2.33, 1 Li 2.40
Li: 0.2500 0.3791 0.6209  6 N 2.25, 2 Li 2.40
Li: 0.7500 0.6209 0.3791  6 N 2.25, 2 Li 2.40
V: 0.3983 0.8033 0.5727  4 N 1.82-1.89
V: 0.1017 0.4273 0.1967  4 N 1.82-1.89
V: 0.6017 0.1967 0.4273  4 N 1.82-1.89
V: 0.8983 0.5727 0.8033  4 N 1.82-1.89
N: 0.4390 0.0365 0.7031  2 V 1.86-1.89
N: 0.0610 0.2969 0.9635  2 V 1.86-1.89
N: 0.5610 0.9635 0.2969  2 V 1.86-1.89
N: 0.9390 0.7031 0.0365  2 V 1.86-1.89
N: 0.0738 0.7267 0.5487  2 V 1.82-1.85
N: 0.4262 0.4513 0.2733  2 V 1.82-1.85
N: 0.9262 0.2733 0.4513  2 V 1.82-1.85
N: 0.5738 0.5487 0.7267  2 V 1.82-1.85

Results
- Fermi-level density of states: 4.2 states/eV/cell
- Spin magnetization: 0.11 μB per atom
- SG: C2/c (15)
- Electronic total energy: -7.167 eV per atom
- ΔE_f (raw): -0.802 eV per atom

---

(3)
The following is a DFT calculation (GGA-PBE) of a relaxed structure of LiV3N.

a = 3.9837 Å, b = 3.9837 Å, c = 3.9837 Å
α = 90.00°, β = 90.00°, γ = 90.00°
With the nearest neighbours (Å) after each atom.
Positions (direct):
V: 0.0000 0.5000 0.0000  2 Li 1.99
V: 0.0000 0.0000 0.5000  2 Li 1.99
V: 0.5000 0.0000 0.0000  2 Li 1.99
Li: 0.0000 0.0000 0.0000  6 V 1.99
N: 0.5000 0.5000 0.5000  12 V 2.82

Results
- Fermi-level density of states: 5.2 states/eV/cell
- Spin magnetization: 0.00 μB per atom
- SG: Pm-3m (221)
- Offset from the most stable computed form: 2.237 eV per atom
- Electronic total energy: -5.571 eV per atom
- ΔE_f (raw): 1.948 eV per atom

---

(4)
The following is a DFT calculation (GGA-PBE) of a relaxed structure of Li7VN4.

a = 6.7747 Å, b = 6.7747 Å, c = 4.8892 Å
α = 90.00°, β = 90.00°, γ = 90.00°
With the nearest neighbours (Å) after each atom.
Positions (direct):
Li: 0.5000 0.0000 0.5812  4 N 2.12-2.35
Li: 0.2365 0.7635 0.0000  4 N 2.08-2.13, 1 Li 2.27
Li: 0.0000 0.5000 0.9188  4 N 2.12-2.35
Li: 0.7635 0.2365 0.0000  4 N 2.08-2.13, 1 Li 2.27
Li: 0.2635 0.7365 0.5000  4 N 2.08-2.13, 1 Li 2.27
Li: 0.0000 0.0000 0.0000  4 N 2.07, 4 Li 2.27
Li: 0.5000 0.0000 0.0812  4 N 2.12-2.35
Li: 0.7365 0.7365 0.5000  4 N 2.08-2.13, 1 Li 2.27
Li: 0.2635 0.2635 0.5000  4 N 2.08-2.13, 1 Li 2.27
Li: 0.2365 0.2365 0.0000  4 N 2.08-2.13, 1 Li 2.27
Li: 0.7635 0.7635 0.0000  4 N 2.08-2.13, 1 Li 2.27
Li: 0.7365 0.2635 0.5000  4 N 2.08-2.13, 1 Li 2.27
Li: 0.0000 0.5000 0.4188  4 N 2.12-2.35
Li: 0.5000 0.5000 0.5000  4 N 2.07, 4 Li 2.27
V: 0.0000 0.0000 0.5000  4 N 1.84
V: 0.5000 0.5000 0.0000  4 N 1.84
N: 0.0000 0.2250 0.7122  1 V 1.84
N: 0.2750 0.5000 0.2122  1 V 1.84
N: 0.5000 0.2750 0.7878  1 V 1.84
N: 0.0000 0.7750 0.7122  1 V 1.84
N: 0.5000 0.7250 0.7878  1 V 1.84
N: 0.7750 0.0000 0.2878  1 V 1.84
N: 0.7250 0.5000 0.2122  1 V 1.84
N: 0.2250 0.0000 0.2878  1 V 1.84

Results
- Fermi-level density of states: 0.0 states/eV/cell
- Spin magnetization: 0.00 μB per atom
- SG: P4_2/nmc (137)
- Offset from the most stable computed form: 0.007 eV per atom
- Electronic total energy: -5.430 eV per atom
- ΔE_f (raw): -0.779 eV per atom